Here is HoTiBe after structural relaxation from Alexandria via LeMat-Bulk. Energies are from PBE-GGA.

energy relative to the elements	0.51	eV per formula unit

a b c (Å): 3.1756 3.1756 10.9926
angles (deg): 90.00 90.00 90.00
Space group P4/mmm (No. 123)
One atom of each set of equivalent atoms:
Ho1 0.0000 0.0000 0.1704 (multiplicity 2)
Ti1 0.5000 0.5000 0.3767 (multiplicity 2)
Be1 0.0000 0.0000 0.5000 (multiplicity 1)
Be2 0.5000 0.5000 0.0000 (multiplicity 1)

Here is HoTm2Be after structural relaxation from Alexandria via LeMat-Bulk. Energies are from PBE-GGA.

distance to the lowest polymorph of the same formula	0.6217	eV/atom
energy relative to the elements	2.71	eV per formula unit

a b c (Å): 3.3841 3.3841 33.7641
angles (deg): 90.00 90.00 120.00
Space group R-3m (No. 166, hexagonal axes)
One atom of each set of equivalent atoms:
Ho1 0.0000 0.0000 0.0000 (multiplicity 3)
Tm1 0.0000 0.0000 0.4157 (multiplicity 6)
Be1 0.0000 0.0000 0.5000 (multiplicity 3)

Here is HoTm2Be after structural relaxation from Alexandria via LeMat-Bulk. Energies are from PBE-GGA.

distance to the lowest polymorph of the same formula	0.0000	eV/atom
energy relative to the elements	0.23	eV per formula unit

a b c (Å): 3.4165 3.4165 8.4878
angles (deg): 90.00 90.00 90.00
Space group P4/mmm (No. 123)
One atom of each set of equivalent atoms:
Ho1 0.0000 0.0000 0.0000 (multiplicity 1)
Tm1 0.5000 0.5000 0.3070 (multiplicity 2)
Be1 0.0000 0.0000 0.5000 (multiplicity 1)